(1)
Zn3Rh4W (GGA-PBE, relaxed); DFT formation energy = -0.3631 eV/atom; space-group type = P4/mmm
1.0
4.238 0.000 0.000
0.000 6.309 0.000
0.000 0.000 8.475
Rh W Zn
8 2 6
Direct
0.000 0.251 0.750 Rh
0.500 0.251 0.500 Rh
0.000 0.749 0.750 Rh
0.500 0.749 0.500 Rh
0.500 0.749 0.000 Rh
0.000 0.251 0.250 Rh
0.000 0.749 0.250 Rh
0.500 0.251 0.000 Rh
0.000 0.500 0.000 W
0.000 0.500 0.500 W
0.500 0.000 0.750 Zn
0.500 0.500 0.250 Zn
0.500 0.000 0.250 Zn
0.500 0.500 0.750 Zn
0.000 0.000 0.000 Zn
0.000 0.000 0.500 Zn

=====

(2)
La2MoPb (GGA-PBE, relaxed); DFT formation energy = 0.2191 eV/atom; space-group type = F-43m
1.0
5.271 0.000 0.000
2.636 4.565 0.000
2.636 1.522 4.304
La Mo Pb
2 1 1
Direct
0.000 0.000 0.000 La
0.250 0.250 0.250 La
0.500 0.500 0.500 Mo
0.750 0.750 0.750 Pb

=====

(3)
AgIF2 (GGA-PBE, relaxed); distance to the lowest polymorph of the same formula = 0.123 eV/atom; formation energy (no corrections) = -0.73 eV per atom; space-group type = P2_1/m
1.0
-2.692 0.542 2.695
-1.203 -3.681 -6.315
1.810 -5.638 2.942
F I Ag
4 2 2
Direct
0.365 0.655 0.564 F
0.635 0.345 0.064 F
0.635 0.345 0.436 F
0.365 0.655 0.936 F
0.961 0.980 0.750 I
0.039 0.020 0.250 I
0.292 0.619 0.250 Ag
0.708 0.381 0.750 Ag

=====

Total magnetization
In order: 0.000; 1.723; 0.000
Unit: Bohr magnetons per cell
V
In order: 14.162; 25.889; 19.620
Unit: Å³ per atom